Record 1
Ac2AlIn3 PBE-GGA relaxed; SG = Cm, No. 8
1.0
-4.473 -1.760 -0.250
-0.010 -6.590 0.240
-2.285 -1.619 5.951
In Ac Al
3 2 1
Direct
0.852 0.603 0.693 In
0.168 0.757 0.907 In
0.822 0.246 0.110 In
0.562 0.185 0.691 Ac
0.438 0.819 0.305 Ac
0.157 0.391 0.294 Al



Record 2
YAl2P PBE-GGA relaxed; SG = P4/mmm, No. 123
1.0
-3.222 -0.952 -2.252
1.626 -3.616 -0.799
-2.091 -1.766 3.738
P Y Al
1 1 2
Direct
0.500 0.000 0.500 P
0.000 0.500 0.500 Y
0.500 0.500 0.000 Al
0.000 0.000 0.000 Al



These records have energy values of -3.796; -5.282 eV/atom, in the order they appear.
These records have energy of formation values of -433; -442 meV per atom, in the order they appear.